Density functional theory data (PBE) for a geometry-optimized NdAlAg2Ge structure.

DFT total energy, Ry per atom: -0.3078
Polymorph energy (0 for the lowest one), meV/atom: 0

Cell lengths 6.3309, 6.3309, 6.3309 Å; angles 140.04, 140.04, 57.79 degrees
With the nearest neighbours (Å) after each atom.
Fractional coordinates of all 5 atoms:
Ag 0.7520 0.2520 0.5000  2 Al 2.62, 2 Ge 2.70
Ag 0.2520 0.7520 0.5000  2 Al 2.62, 2 Ge 2.70
Al 0.3846 0.3846 0.0000  1 Ge 2.46, 4 Ag 2.62
Ge 0.6067 0.6067 0.0000  1 Al 2.46, 4 Ag 2.70
Nd 0.0047 0.0047 0.0000  4 Ge 3.26, 4 Al 3.34, 8 Ag 3.49-3.54

---

Density functional theory data (PBE) for a geometry-optimized ScTlPd2 structure.

DFT total energy, Ry per atom: -0.3841

Cell lengths 4.6832, 4.6832, 4.6832 Å; angles 60.00, 60.00, 60.00 degrees
With the nearest neighbours (Å) after each atom.
Fractional coordinates of all 4 atoms:
Pd 0.0000 0.0000 0.0000  4 Sc 2.87, 4 Pd 2.87
Pd 0.7500 0.7500 0.7500  4 Tl 2.87, 4 Pd 2.87
Sc 0.2500 0.2500 0.2500  4 Pd 2.87, 4 Tl 2.87
Tl 0.5000 0.5000 0.5000  4 Sc 2.87, 4 Pd 2.87

---

Density functional theory data (PBE) for a geometry-optimized ZrCoCuPb structure.

DFT total energy, Ry per atom: -0.4055
Polymorph energy (0 for the lowest one), meV/atom: 279

Cell lengths 4.6127, 4.6127, 4.6127 Å; angles 60.00, 60.00, 60.00 degrees
With the nearest neighbours (Å) after each atom.
Fractional coordinates of all 4 atoms:
Co 0.5000 0.5000 0.5000  4 Cu 2.82, 4 Zr 2.82
Cu 0.7500 0.7500 0.7500  4 Co 2.82, 4 Pb 2.82
Pb 0.0000 0.0000 0.0000  4 Zr 2.82, 4 Cu 2.82
Zr 0.2500 0.2500 0.2500  4 Pb 2.82, 4 Co 2.82

---

Density functional theory data (PBE) for a geometry-optimized Hf4Cd2BN structure.

DFT total energy, Ry per atom: -0.5650

Cell lengths 3.3162, 3.3162, 15.0312 Å; angles 90.00, 90.00, 120.00 degrees
With the nearest neighbours (Å) after each atom.
Fractional coordinates of all 8 atoms:
B 0.0000 0.0000 0.0000  6 Hf 2.32
Cd 0.6667 0.3333 0.2560  6 Hf 3.13-3.18, 6 Cd 3.32
Cd 0.3333 0.6667 0.7440  6 Hf 3.13-3.18, 6 Cd 3.32
Hf 0.3333 0.6667 0.0869  3 B 2.32
Hf 0.3333 0.6667 0.4206  3 N 2.26
Hf 0.6667 0.3333 0.5794  3 N 2.26
Hf 0.6667 0.3333 0.9131  3 B 2.32
N 0.0000 0.0000 0.5000  6 Hf 2.26

---

Density functional theory data (PBE) for a geometry-optimized Lu2In2O5 structure.

DFT total energy, Ry per atom: -0.4475
Polymorph energy (0 for the lowest one), meV/atom: 613

Cell lengths 6.9721, 4.1535, 4.1535 Å; angles 90.00, 90.00, 90.00 degrees
With the nearest neighbours (Å) after each atom.
Fractional coordinates of all 9 atoms:
In 0.1996 0.5000 0.5000  5 O 2.09-2.10
In 0.8004 0.5000 0.5000  5 O 2.09-2.10
Lu 0.0000 0.0000 0.0000  8 O 2.66
Lu 0.5000 0.0000 0.0000  12 O 2.76-2.94
O 0.2395 0.5000 0.0000  2 In 2.10
O 0.7605 0.5000 0.0000  2 In 2.10
O 0.2395 0.0000 0.5000  2 In 2.10
O 0.7605 0.0000 0.5000  2 In 2.10
O 0.5000 0.5000 0.5000  2 In 2.09

---

Density functional theory data (PBE) for a geometry-optimized TbTmSn2Os2 structure.

DFT total energy, Ry per atom: -0.5093

Cell lengths 4.5085, 4.5085, 6.7471 Å; angles 90.00, 90.00, 90.00 degrees
With the nearest neighbours (Å) after each atom.
Fractional coordinates of all 6 atoms:
Os 0.5000 0.0000 0.9979  4 Sn 2.74-2.75, 2 Tm 2.93, 2 Tb 2.98
Os 0.0000 0.5000 0.9979  4 Sn 2.74-2.75, 2 Tm 2.93, 2 Tb 2.98
Sn 0.5000 0.5000 0.2304  4 Os 2.75
Sn 0.0000 0.0000 0.7671  4 Os 2.74
Tb 0.0000 0.0000 0.2857  4 Os 2.98, 5 Sn 3.21-3.25
Tm 0.5000 0.5000 0.7211  4 Os 2.93, 4 Sn 3.20

---

Density functional theory data (PBE) for a geometry-optimized KPaCu structure.

DFT total energy, Ry per atom: -0.2587

Cell lengths 4.9905, 4.9905, 4.9905 Å; angles 60.00, 60.00, 60.00 degrees
With the nearest neighbours (Å) after each atom.
Fractional coordinates of all 3 atoms:
Cu 0.0000 0.0000 0.0000  4 Pa 3.06, 4 K 3.06
K 0.2500 0.2500 0.2500  4 Cu 3.06
Pa 0.7500 0.7500 0.7500  4 Cu 3.06

---

Density functional theory data (PBE) for a geometry-optimized AgIrNO structure.

DFT total energy, Ry per atom: -0.3649
Polymorph energy (0 for the lowest one), meV/atom: 943

Cell lengths 3.6078, 3.6078, 7.1871 Å; angles 90.00, 90.00, 90.00 degrees
With the nearest neighbours (Å) after each atom.
Fractional coordinates of all 8 atoms:
Ag 0.0000 0.0000 0.5000  4 N 2.45, 4 Ag 2.55
Ag 0.5000 0.5000 0.5000  4 N 2.45, 4 Ag 2.55
Ir 0.0000 0.5000 0.1641  4 O 2.16
Ir 0.5000 0.0000 0.8359  4 O 2.16
N 0.5000 0.0000 0.2702  4 Ag 2.45, 4 O 2.65, 4 Ir 2.66
N 0.0000 0.5000 0.7298  4 Ag 2.45, 4 O 2.65, 4 Ir 2.66
O 0.0000 0.0000 0.0000  4 Ir 2.16
O 0.5000 0.5000 0.0000  4 Ir 2.16

---

Density functional theory data (PBE) for a geometry-optimized NpUCo structure.

DFT total energy, Ry per atom: -0.7573
Energy of formation from the pure elements, meV/atom: 88
Polymorph energy (0 for the lowest one), meV/atom: 0

Cell lengths 4.2310, 4.2310, 4.2310 Å; angles 60.00, 60.00, 60.00 degrees
With the nearest neighbours (Å) after each atom.
Fractional coordinates of all 3 atoms:
Co 0.2500 0.2500 0.2500  4 U 2.59
Np 0.7500 0.7500 0.7500  4 U 2.59
U 0.0000 0.0000 0.0000  4 Np 2.59, 4 Co 2.59

---

Density functional theory data (PBE) for a geometry-optimized NbPPbO structure.

DFT total energy, Ry per atom: -0.5066
Polymorph energy (0 for the lowest one), meV/atom: 0

Cell lengths 3.3816, 6.8944, 7.3101 Å; angles 90.00, 90.00, 90.00 degrees
With the nearest neighbours (Å) after each atom.
Fractional coordinates of all 8 atoms:
Nb 0.5000 0.5779 0.4951  2 O 1.92-1.99
Nb 0.5000 0.4221 0.9951  2 O 1.92-1.99
O 0.5000 0.4384 0.2570  2 Nb 1.92-1.99
O 0.5000 0.5616 0.7570  2 Nb 1.92-1.99
P 0.0000 0.8318 0.4418  2 Nb 2.46, 1 Pb 2.70
P 0.0000 0.1682 0.9418  2 Nb 2.46, 1 Pb 2.70
Pb 0.0000 0.7977 0.0601  2 P 2.70-2.80
Pb 0.0000 0.2023 0.5601  2 P 2.70-2.80

---

Density functional theory data (PBE) for a geometry-optimized BaTc2Mo structure.

DFT total energy, Ry per atom: -0.5279

Cell lengths 4.7048, 4.7048, 4.7048 Å; angles 60.00, 60.00, 60.00 degrees
With the nearest neighbours (Å) after each atom.
Fractional coordinates of all 4 atoms:
Ba 0.7500 0.7500 0.7500  4 Mo 2.88, 4 Tc 2.88
Mo 0.5000 0.5000 0.5000  4 Ba 2.88, 4 Tc 2.88
Tc 0.0000 0.0000 0.0000  4 Ba 2.88, 4 Tc 2.88
Tc 0.2500 0.2500 0.2500  4 Mo 2.88, 4 Tc 2.88

---

Density functional theory data (PBE) for a geometry-optimized FeRe2Pd structure.

DFT total energy, Ry per atom: -0.6819
Energy of formation from the pure elements, meV/atom: 305
Polymorph energy (0 for the lowest one), meV/atom: 255

Cell lengths 4.2933, 4.2933, 4.2933 Å; angles 60.00, 60.00, 60.00 degrees
With the nearest neighbours (Å) after each atom.
Fractional coordinates of all 4 atoms:
Fe 0.2500 0.2500 0.2500  4 Re 2.63, 4 Pd 2.63
Pd 0.5000 0.5000 0.5000  4 Re 2.63, 4 Fe 2.63
Re 0.0000 0.0000 0.0000  4 Fe 2.63, 4 Re 2.63
Re 0.7500 0.7500 0.7500  4 Pd 2.63, 4 Re 2.63

---

Density functional theory data (PBE) for a geometry-optimized CdH2 structure.

DFT total energy, Ry per atom: -0.1465

Cell lengths 3.5667, 3.5667, 3.5667 Å; angles 60.00, 60.00, 60.00 degrees
With the nearest neighbours (Å) after each atom.
Fractional coordinates of all 3 atoms:
Cd 0.0000 0.0000 0.0000  8 H 2.18
H 0.2500 0.2500 0.2500  4 Cd 2.18
H 0.7500 0.7500 0.7500  4 Cd 2.18

---

Density functional theory data (PBE) for a geometry-optimized HoErAu6 structure.

DFT total energy, Ry per atom: -0.3176
Energy of formation from the pure elements, meV/atom: -729

Cell lengths 5.0238, 6.1290, 5.1282 Å; angles 90.00, 90.00, 90.00 degrees
With the nearest neighbours (Å) after each atom.
Fractional coordinates of all 8 atoms:
Au 0.5000 0.0000 0.1642  8 Au 2.96-3.09, 2 Er 3.00, 2 Ho 3.06
Au 0.0000 0.2541 0.3376  8 Au 2.96-3.12, 2 Er 2.97-3.03, 2 Ho 3.07
Au 0.0000 0.7459 0.3376  8 Au 2.96-3.12, 2 Er 2.97-3.03, 2 Ho 3.07
Au 0.5000 0.2438 0.6628  8 Au 2.96-3.14, 2 Ho 2.98-3.03, 2 Er 3.07
Au 0.5000 0.7562 0.6628  8 Au 2.96-3.14, 2 Ho 2.98-3.03, 2 Er 3.07
Au 0.0000 0.5000 0.8344  8 Au 2.96-3.09, 2 Ho 3.01, 2 Er 3.06
Er 0.0000 0.0000 0.8441  12 Au 2.97-3.07
Ho 0.5000 0.5000 0.1565  12 Au 2.98-3.07

---

Density functional theory data (PBE) for a geometry-optimized Tb2In4PdPt structure.

DFT total energy, Ry per atom: -0.3399

Cell lengths 7.3961, 5.7810, 5.7810 Å; angles 46.32, 90.00, 90.00 degrees
With the nearest neighbours (Å) after each atom.
Fractional coordinates of all 8 atoms:
In 0.2989 0.1363 0.1363  1 Pt 2.77, 2 Pd 2.82, 2 In 2.97-2.99
In 0.7011 0.1363 0.1363  1 Pt 2.77, 2 Pd 2.82, 2 In 2.97-2.99
In 0.2030 0.8633 0.8633  1 Pd 2.76, 2 Pt 2.82, 2 In 2.99-3.00
In 0.7970 0.8633 0.8633  1 Pd 2.76, 2 Pt 2.82, 2 In 2.99-3.00
Pd 0.5000 0.7058 0.7058  6 In 2.76-2.82, 1 Tb 2.99
Pt 0.0000 0.2940 0.2940  6 In 2.77-2.82, 1 Tb 3.01
Tb 0.5000 0.4243 0.4243  3 Pd 2.99-3.25, 4 In 3.23
Tb 0.0000 0.5767 0.5767  3 Pt 3.01-3.24, 4 In 3.23

---

Density functional theory data (PBE) for a geometry-optimized LaHoBe2Si2 structure.

DFT total energy, Ry per atom: -0.3854

Cell lengths 3.9248, 3.9248, 8.3931 Å; angles 90.00, 90.00, 120.00 degrees
With the nearest neighbours (Å) after each atom.
Fractional coordinates of all 6 atoms:
Be 0.6667 0.3333 0.2657  3 Si 2.27
Be 0.3333 0.6667 0.7343  3 Si 2.27
Ho 0.0000 0.0000 0.5000  6 Be 3.00, 6 Si 3.00
La 0.0000 0.0000 0.0000  6 Si 3.18, 6 Be 3.18
Si 0.3333 0.6667 0.2655  3 Be 2.27
Si 0.6667 0.3333 0.7345  3 Be 2.27

---

Density functional theory data (PBE) for a geometry-optimized RbTmFeTe3 structure.

DFT total energy, Ry per atom: -0.3325

Cell lengths 9.5709, 9.5709, 9.5240 Å; angles 102.04, 102.04, 27.23 degrees
With the nearest neighbours (Å) after each atom.
Fractional coordinates of all 12 atoms:
Fe 0.5057 0.5057 0.2193  2 Te 2.70-2.74
Fe 0.4943 0.4943 0.7807  2 Te 2.70-2.74
Rb 0.8516 0.8516 0.4360  7 Te 3.51-3.61
Rb 0.1484 0.1484 0.5640  7 Te 3.51-3.61
Te 0.0000 0.0000 0.0000  4 Fe 3.06, 2 Tm 3.08
Te 0.3377 0.3377 0.1415  3 Tm 3.05-3.06, 1 Fe 3.05
Te 0.6566 0.6566 0.2795  1 Fe 2.74, 2 Tm 3.01
Te 0.5000 0.5000 0.5000  2 Fe 2.70
Te 0.3434 0.3434 0.7205  1 Fe 2.74, 2 Tm 3.01
Te 0.6623 0.6623 0.8585  3 Tm 3.05-3.06, 1 Fe 3.05
Tm 0.1693 0.1693 0.0770  6 Te 3.01-3.08
Tm 0.8307 0.8307 0.9230  6 Te 3.01-3.08

---

Density functional theory data (PBE) for a geometry-optimized BeInCu2 structure.

DFT total energy, Ry per atom: -0.2508
Polymorph energy (0 for the lowest one), meV/atom: 0

Cell lengths 5.9665, 5.9665, 5.9665 Å; angles 90.00, 90.00, 90.00 degrees
With the nearest neighbours (Å) after each atom.
Fractional coordinates of all 16 atoms:
Be 0.0000 0.0000 0.0000  8 Cu 2.24
Be 0.5000 0.0000 0.0000  8 Cu 2.49
Be 0.0000 0.5000 0.0000  8 Cu 2.49
Be 0.0000 0.0000 0.5000  8 Cu 2.49
Cu 0.2165 0.2165 0.2165  4 Be 2.24-2.49
Cu 0.7835 0.2165 0.2165  4 Be 2.24-2.49
Cu 0.2165 0.7835 0.2165  4 Be 2.24-2.49
Cu 0.7835 0.7835 0.2165  4 Be 2.24-2.49
Cu 0.2165 0.2165 0.7835  4 Be 2.24-2.49
Cu 0.7835 0.2165 0.7835  4 Be 2.24-2.49
Cu 0.2165 0.7835 0.7835  4 Be 2.24-2.49
Cu 0.7835 0.7835 0.7835  4 Be 2.24-2.49
In 0.5000 0.5000 0.0000  8 Cu 2.72, 2 In 2.98, 4 Be 2.98
In 0.5000 0.0000 0.5000  8 Cu 2.72, 2 In 2.98, 4 Be 2.98
In 0.0000 0.5000 0.5000  8 Cu 2.72, 2 In 2.98, 4 Be 2.98
In 0.5000 0.5000 0.5000  8 Cu 2.93, 6 In 2.98

---

Density functional theory data (PBE) for a geometry-optimized LiHfAlPd structure.

DFT total energy, Ry per atom: -0.4061
Polymorph energy (0 for the lowest one), meV/atom: 282

Cell lengths 4.4762, 4.4762, 4.4762 Å; angles 60.00, 60.00, 60.00 degrees
With the nearest neighbours (Å) after each atom.
Fractional coordinates of all 4 atoms:
Al 0.2500 0.2500 0.2500  4 Pd 2.74, 4 Hf 2.74
Hf 0.0000 0.0000 0.0000  4 Li 2.74, 4 Al 2.74
Li 0.7500 0.7500 0.7500  4 Hf 2.74, 4 Pd 2.74
Pd 0.5000 0.5000 0.5000  4 Li 2.74, 4 Al 2.74

---

Density functional theory data (PBE) for a geometry-optimized HoTlCdTe3 structure.

DFT total energy, Ry per atom: -0.2711
Polymorph energy (0 for the lowest one), meV/atom: 0

Cell lengths 8.0800, 8.0800, 11.7000 Å; angles 90.00, 90.00, 148.06 degrees
With the nearest neighbours (Å) after each atom.
Fractional coordinates of all 12 atoms:
Cd 0.9624 0.0376 0.2500  4 Te 2.82-2.87
Cd 0.0376 0.9624 0.7500  4 Te 2.82-2.87
Ho 0.5000 0.5000 0.0000  6 Te 3.11-3.17
Ho 0.5000 0.5000 0.5000  6 Te 3.11-3.17
Te 0.8643 0.1357 0.0477  1 Cd 2.82, 2 Ho 3.11
Te 0.5791 0.4209 0.2500  2 Cd 2.87, 2 Ho 3.17
Te 0.8643 0.1357 0.4523  1 Cd 2.82, 2 Ho 3.11
Te 0.1357 0.8643 0.5477  1 Cd 2.82, 2 Ho 3.11
Te 0.4209 0.5791 0.7500  2 Cd 2.87, 2 Ho 3.17
Te 0.1357 0.8643 0.9523  1 Cd 2.82, 2 Ho 3.11
Tl 0.2589 0.7411 0.2500  8 Te 3.57-3.97, 2 Cd 3.86
Tl 0.7411 0.2589 0.7500  8 Te 3.57-3.97, 2 Cd 3.86